First-principles (PBE) data for a relaxed Pm2Sm3Y6 crystal, as listed in Alexandria.

Cell: 6.193 10.746 11.732 Å, 90.00 100.22 90.00°
Space group C2/m (No. 12)
One atom of each set of equivalent atoms:
1 Pm 0.000 0.167 0.000
2 Sm 0.000 0.000 0.500
3 Sm 0.000 0.336 0.500
4 Y 0.250 0.000 0.250
5 Y 0.250 0.166 0.751

The electronic total energy comes out at -60.4 eV/f.u. The value obtained for the formation energy is 0.188 eV/atom. Its offset from the most stable computed form is 0.174 eV per atom.